Computed, not measured: a geometry-optimized MnNiCl2 structure at the PBE-GGA level of DFT.

Computed properties:
* D(E_F): 5.03 states/eV/cell
* density: 4.54 Mg/m³
* raw formation energy: 0.4118 eV/atom
* V: 67.5 Å³/cell
* relative energy among the computed polymorphs: 0.802 eV per atom
* symmetry: F-43m (216)

Unit cell a=4.570 b=4.570 c=4.570 alpha=60.00 beta=60.00 gamma=60.00
Site moments in Bohr magnetons follow the coordinates.
Sites, in units of the cell vectors:
Ni1 0.750 0.750 0.750  0.63
Mn1 0.500 0.500 0.500  4.12
Cl1 0.000 0.000 0.000  0.12
Cl2 0.250 0.250 0.250  0.06

***

Computed, not measured: a geometry-optimized CsSr2LaB structure at the PBE-GGA level of DFT.

Computed properties:
* DFT formation energy: 32.46 kcal/mol of atoms
* D(E_F): 5.97 states/eV/cell
* density: 3.58 Mg/m³
* V: 212.5 Å³/cell
* symmetry: P4/mmm (123)

Unit cell a=6.556 b=4.943 c=6.556 alpha=90.00 beta=90.00 gamma=90.00
Sites, in units of the cell vectors:
Cs1 0.000 0.000 0.000
Sr1 0.000 0.000 0.500
Sr2 0.500 0.000 0.000
B1 0.000 0.500 0.000
La1 0.500 0.500 0.500

***

Computed, not measured: a geometry-optimized PmPrGaRu structure at the PBE-GGA level of DFT.

Computed properties:
* DFT formation energy: -6.77 kcal/mol of atoms
* D(E_F): 2.69 states/eV/cell
* density: 8.05 Mg/m³
* V: 94.2 Å³/cell
* relative energy among the computed polymorphs: 0.098 eV per atom
* symmetry: F-43m (216)

Unit cell a=5.107 b=5.107 c=5.107 alpha=60.00 beta=60.00 gamma=60.00
Sites, in units of the cell vectors:
Pr1 0.000 0.000 0.000
Ru1 0.750 0.750 0.750
Ga1 0.250 0.250 0.250
Pm1 0.500 0.500 0.500

***

Computed, not measured: a geometry-optimized LaTlAg2I6 structure at the PBE-GGA level of DFT.

Computed properties:
* D(E_F): 0.00 states/eV/cell
* density: 4.76 Mg/m³
* raw formation energy: -0.8047 eV/atom
* V: 461.0 Å³/cell
* symmetry: P-1 (2)

Unit cell a=8.149 b=8.150 c=9.297 alpha=90.02 beta=116.03 gamma=119.99
Sites, in units of the cell vectors:
La1 0.996 0.498 0.480
Tl1 0.997 0.998 0.981
Ag1 0.524 0.761 0.272
Ag2 0.469 0.234 0.689
I1 0.467 0.894 0.715
I2 0.526 0.102 0.246
I3 0.836 0.733 0.245
I4 0.158 0.423 0.246
I5 0.835 0.573 0.714
I6 0.156 0.262 0.715

***

Computed, not measured: a geometry-optimized Ba2HgSe structure at the PBE-GGA level of DFT.

Computed properties:
* D(E_F): 4.23 states/eV/cell
* density: 5.72 Mg/m³
* raw formation energy: -1.0972 eV/atom
* V: 161.0 Å³/cell
* relative energy among the computed polymorphs: 0.049 eV per atom
* symmetry: P4/mmm (123)

Unit cell a=4.848 b=4.848 c=6.850 alpha=90.00 beta=90.00 gamma=90.01
Sites, in units of the cell vectors:
Ba1 0.000 0.000 0.875
Ba2 0.500 0.500 0.375
Hg1 0.000 0.000 0.375
Se1 0.500 0.500 0.875

***

Computed, not measured: a geometry-optimized Tc2NiRh structure at the PBE-GGA level of DFT.

Computed properties:
* DFT formation energy: 1.01 kcal/mol of atoms
* D(E_F): 4.71 states/eV/cell
* density: 10.87 Mg/m³
* V: 54.6 Å³/cell
* relative energy among the computed polymorphs: 0.130 eV per atom
* symmetry: C2/m (12)

Unit cell a=4.683 b=4.683 c=4.590 alpha=80.54 beta=80.54 gamma=33.42
Sites, in units of the cell vectors:
Ni1 0.750 0.750 0.750
Rh1 0.250 0.250 0.250
Tc1 0.000 0.000 0.996
Tc2 0.500 0.500 0.504

***

Computed, not measured: a geometry-optimized La2Sn3PtRh4 structure at the PBE-GGA level of DFT.

Computed properties:
* DFT formation energy: -16.31 kcal/mol of atoms
* D(E_F): 6.76 states/eV/cell
* density: 9.60 Mg/m³
* V: 214.5 Å³/cell
* symmetry: P-4m2 (115)

Unit cell a=4.261 b=4.261 c=11.813 alpha=90.00 beta=90.00 gamma=90.00
Sites, in units of the cell vectors:
La1 0.500 0.000 0.274
La2 0.000 0.500 0.726
Sn1 0.000 0.000 0.500
Sn2 0.500 0.000 0.872
Sn3 0.000 0.500 0.128
Pt1 0.500 0.500 0.500
Rh1 0.500 0.500 0.000
Rh2 0.000 0.000 0.000
Rh3 0.500 0.000 0.651
Rh4 0.000 0.500 0.349

***

Computed, not measured: a geometry-optimized ZrBAs2Se structure at the PBE-GGA level of DFT.

Computed properties:
* D(E_F): 4.19 states/eV/cell
* density: 3.91 Mg/m³
* raw formation energy: 0.9652 eV/atom
* V: 140.5 Å³/cell
* relative energy among the computed polymorphs: 0.603 eV per atom
* symmetry: P4/mmm (123)

Unit cell a=5.207 b=5.207 c=5.184 alpha=90.00 beta=90.00 gamma=90.00
Sites, in units of the cell vectors:
As1 0.000 0.500 0.000
As2 0.500 0.000 0.000
B1 0.500 0.500 0.500
Se1 0.000 0.000 0.500
Zr1 0.000 0.000 0.000

***

How do the records compare in raw total energy? In the order shown, they have -4.2492, -1.7566, -5.7519, -3.0344, -3.0051, -8.4225, -6.4381, -4.6366 eV per atom.